# CeHoTh (PBE, optimized geometry)
# Energy relative to the lowest polymorph listed for this composition, meV/atom: 30
# Energy relative to the elements, meV/atom: 77
# Theoretical density, g/cm3: 9.69
data_CeHoTh
_chemical_formula_sum 'Ce2 Ho2 Th2'
_space_group_name_H-M_alt 'P 1'
_space_group_IT_number 1
_space_group_name_Hall 'P 1'
_cell_length_a 3.5233
_cell_length_b 4.9354
_cell_length_c 10.5840
_cell_angle_alpha 90.03
_cell_angle_beta 90.00
_cell_angle_gamma 90.00
loop_
_atom_site_label
_atom_site_type_symbol
_atom_site_fract_x
_atom_site_fract_y
_atom_site_fract_z
_atom_site_occupancy
Ce1 Ce 0.9207 0.8572 0.0008 1
Ce2 Ce 0.4208 0.3567 0.1576 1
Ho1 Ho 0.4209 0.3571 0.8312 1
Ho2 Ho 0.9209 0.8568 0.3272 1
Th1 Th 0.4210 0.3569 0.4962 1
Th2 Th 0.9209 0.8570 0.6622 1

=====

# CeHo2Th5 (PBE, optimized geometry)
# Energy relative to the elements, meV/atom: 122
# Theoretical density, g/cm3: 10.77
data_CeHo2Th5
_chemical_formula_sum 'Ce1 Ho2 Th5'
_space_group_name_H-M_alt 'P 1'
_space_group_IT_number 1
_space_group_name_Hall 'P 1'
_cell_length_a 6.9261
_cell_length_b 6.9261
_cell_length_c 6.9261
_cell_angle_alpha 118.22
_cell_angle_beta 105.28
_cell_angle_gamma 105.28
loop_
_atom_site_label
_atom_site_type_symbol
_atom_site_fract_x
_atom_site_fract_y
_atom_site_fract_z
_atom_site_occupancy
Ce1 Ce 0.0000 0.2218 0.2218 1
Ho1 Ho 0.5000 0.2222 0.7222 1
Ho2 Ho 0.5000 0.7222 0.2222 1
Th1 Th 0.4996 0.7221 0.7221 1
Th2 Th 0.0000 0.2224 0.7221 1
Th3 Th 0.0000 0.7221 0.2224 1
Th4 Th 0.5004 0.2224 0.2224 1
Th5 Th 0.0000 0.7227 0.7227 1

=====

# CeHoTh14 (PBE, optimized geometry)
# Energy relative to the elements, meV/atom: 35
# Theoretical density, g/cm3: 11.51
data_CeHoTh14
_chemical_formula_sum 'Ce1 Ho1 Th14'
_space_group_name_H-M_alt 'P 1'
_space_group_IT_number 1
_space_group_name_Hall 'P 1'
_cell_length_a 7.1521
_cell_length_b 7.1521
_cell_length_c 11.5596
_cell_angle_alpha 90.00
_cell_angle_beta 90.00
_cell_angle_gamma 119.90
loop_
_atom_site_label
_atom_site_type_symbol
_atom_site_fract_x
_atom_site_fract_y
_atom_site_fract_z
_atom_site_occupancy
Ce1 Ce 0.5391 0.4609 0.5000 1
Ho1 Ho 0.0418 0.9582 0.5000 1
Th1 Th 0.2077 0.7923 0.0000 1
Th2 Th 0.7082 0.2918 0.0000 1
Th3 Th 0.0459 0.4589 0.5000 1
Th4 Th 0.2080 0.2916 0.0000 1
Th5 Th 0.5411 0.9541 0.5000 1
Th6 Th 0.7084 0.7920 0.0000 1
Th7 Th 0.3748 0.1254 0.7484 1
Th8 Th 0.3748 0.1254 0.2516 1
Th9 Th 0.8746 0.6252 0.7484 1
Th10 Th 0.8746 0.6252 0.2516 1
Th11 Th 0.3749 0.6251 0.7494 1
Th12 Th 0.3749 0.6251 0.2506 1
Th13 Th 0.8755 0.1245 0.7497 1
Th14 Th 0.8755 0.1245 0.2503 1

=====

# CeHo2Th2 (PBE, optimized geometry)
# Energy relative to the lowest polymorph listed for this composition, meV/atom: 391
# Energy relative to the elements, meV/atom: 448
# Theoretical density, g/cm3: 9.22
data_CeHo2Th2
_chemical_formula_sum 'Ce1 Ho2 Th2'
_space_group_name_H-M_alt 'P 1'
_space_group_IT_number 1
_space_group_name_Hall 'P 1'
_cell_length_a 4.4949
_cell_length_b 4.4949
_cell_length_c 8.9130
_cell_angle_alpha 104.61
_cell_angle_beta 104.61
_cell_angle_gamma 90.00
loop_
_atom_site_label
_atom_site_type_symbol
_atom_site_fract_x
_atom_site_fract_y
_atom_site_fract_z
_atom_site_occupancy
Ce1 Ce 0.0000 0.0000 0.0000 1
Ho1 Ho 0.7500 0.2500 0.5000 1
Ho2 Ho 0.2500 0.7500 0.5000 1
Th1 Th 0.4069 0.4069 0.8138 1
Th2 Th 0.5931 0.5931 0.1862 1

=====

# CeHo3Th (PBE, optimized geometry)
# Energy relative to the lowest polymorph listed for this composition, meV/atom: 0
# Energy relative to the elements, meV/atom: 64
# Theoretical density, g/cm3: 9.24
data_CeHo3Th
_chemical_formula_sum 'Ce4 Ho12 Th4'
_space_group_name_H-M_alt 'P 1'
_space_group_IT_number 1
_space_group_name_Hall 'P 1'
_cell_length_a 5.0100
_cell_length_b 7.0470
_cell_length_c 17.6467
_cell_angle_alpha 90.00
_cell_angle_beta 90.00
_cell_angle_gamma 90.00
loop_
_atom_site_label
_atom_site_type_symbol
_atom_site_fract_x
_atom_site_fract_y
_atom_site_fract_z
_atom_site_occupancy
Ce1 Ce 0.2500 0.1281 0.3504 1
Ce2 Ce 0.7500 0.8719 0.6496 1
Ce3 Ce 0.7500 0.3719 0.8504 1
Ce4 Ce 0.2500 0.6281 0.1496 1
Ho1 Ho 0.7500 0.3709 0.2504 1
Ho2 Ho 0.2500 0.6280 0.9515 1
Ho3 Ho 0.2500 0.1167 0.1488 1
Ho4 Ho 0.2500 0.6167 0.3512 1
Ho5 Ho 0.2500 0.1280 0.5485 1
Ho6 Ho 0.7500 0.3833 0.6488 1
Ho7 Ho 0.2500 0.1291 0.7504 1
Ho8 Ho 0.7500 0.8833 0.8512 1
Ho9 Ho 0.7500 0.3720 0.0485 1
Ho10 Ho 0.7500 0.8709 0.2496 1
Ho11 Ho 0.7500 0.8720 0.4515 1
Ho12 Ho 0.2500 0.6291 0.7496 1
Th1 Th 0.2500 0.6297 0.5505 1
Th2 Th 0.7500 0.3703 0.4495 1
Th3 Th 0.7500 0.8703 0.0505 1
Th4 Th 0.2500 0.1297 0.9495 1

=====

# Ce4HoTh5 (PBE, optimized geometry)
# Energy relative to the lowest polymorph listed for this composition, meV/atom: 0
# Energy relative to the elements, meV/atom: 17
# Theoretical density, g/cm3: 10.46
data_Ce4HoTh5
_chemical_formula_sum 'Ce4 Ho1 Th5'
_space_group_name_H-M_alt 'P 1'
_space_group_IT_number 1
_space_group_name_Hall 'P 1'
_cell_length_a 3.5030
_cell_length_b 3.5030
_cell_length_c 24.4002
_cell_angle_alpha 90.00
_cell_angle_beta 90.00
_cell_angle_gamma 90.00
loop_
_atom_site_label
_atom_site_type_symbol
_atom_site_fract_x
_atom_site_fract_y
_atom_site_fract_z
_atom_site_occupancy
Ce1 Ce 0.0000 0.0000 0.2042 1
Ce2 Ce 0.0000 0.0000 0.4012 1
Ce3 Ce 0.0000 0.0000 0.5988 1
Ce4 Ce 0.0000 0.0000 0.7958 1
Ho1 Ho 0.0000 0.0000 0.0000 1
Th1 Th 0.5000 0.5000 0.1045 1
Th2 Th 0.5000 0.5000 0.3026 1
Th3 Th 0.5000 0.5000 0.5000 1
Th4 Th 0.5000 0.5000 0.6974 1
Th5 Th 0.5000 0.5000 0.8955 1

=====

# CeHoTh6 (PBE, optimized geometry)
# Energy relative to the lowest polymorph listed for this composition, meV/atom: 4
# Energy relative to the elements, meV/atom: 36
# Theoretical density, g/cm3: 11.20
data_CeHoTh6
_chemical_formula_sum 'Ce1 Ho1 Th6'
_space_group_name_H-M_alt 'P 1'
_space_group_IT_number 1
_space_group_name_Hall 'P 1'
_cell_length_a 5.0091
_cell_length_b 5.0091
_cell_length_c 10.0310
_cell_angle_alpha 90.00
_cell_angle_beta 90.00
_cell_angle_gamma 90.00
loop_
_atom_site_label
_atom_site_type_symbol
_atom_site_fract_x
_atom_site_fract_y
_atom_site_fract_z
_atom_site_occupancy
Ce1 Ce 0.0000 0.0000 0.5000 1
Ho1 Ho 0.0000 0.0000 0.0000 1
Th1 Th 0.5000 0.5000 0.0000 1
Th2 Th 0.5000 0.5000 0.5000 1
Th3 Th 0.5000 0.0000 0.2533 1
Th4 Th 0.5000 0.0000 0.7467 1
Th5 Th 0.0000 0.5000 0.2533 1
Th6 Th 0.0000 0.5000 0.7467 1

=====

# Ce6HoTh8 (PBE, optimized geometry)
# Energy relative to the elements, meV/atom: 274
# Theoretical density, g/cm3: 9.80
data_Ce6HoTh8
_chemical_formula_sum 'Ce6 Ho1 Th8'
_space_group_name_H-M_alt 'P 1'
_space_group_IT_number 1
_space_group_name_Hall 'P 1'
_cell_length_a 6.4499
_cell_length_b 9.3182
_cell_length_c 9.3182
_cell_angle_alpha 120.00
_cell_angle_beta 90.00
_cell_angle_gamma 90.00
loop_
_atom_site_label
_atom_site_type_symbol
_atom_site_fract_x
_atom_site_fract_y
_atom_site_fract_z
_atom_site_occupancy
Ce1 Ce 0.6285 0.6445 0.0652 1
Ce2 Ce 0.6285 0.9348 0.5793 1
Ce3 Ce 0.6285 0.4207 0.3555 1
Ce4 Ce 0.3715 0.3555 0.9348 1
Ce5 Ce 0.3715 0.0652 0.4207 1
Ce6 Ce 0.3715 0.5793 0.6445 1
Ho1 Ho 0.5000 0.0000 0.0000 1
Th1 Th 0.8592 0.0091 0.2938 1
Th2 Th 0.8592 0.7062 0.7153 1
Th3 Th 0.8592 0.2847 0.9909 1
Th4 Th 0.1408 0.9909 0.7062 1
Th5 Th 0.1408 0.2938 0.2847 1
Th6 Th 0.1408 0.7153 0.0091 1
Th7 Th 0.9053 0.3333 0.6667 1
Th8 Th 0.0947 0.6667 0.3333 1

=====

energy relative to the elements of number 5 (CeHo3Th)? 64 meV/atom